Entry 1:
Here is an optimized crystal structure of Pr2GeSbPt6 from the Alexandria database. Energies are from GGA-PBE.

Unit cell a=5.5991 b=8.8559 c=8.6447 alpha=90.00 beta=90.00 gamma=90.00
With the nearest neighbours (Å) after each atom.
Element x y z (fractional)
Pt 0.7481 0.9940 0.0000  1 Ge 2.60, 6 Pt 2.72-2.82, 1 Sb 2.84
Pt 0.0000 0.8950 0.2495  1 Ge 2.52, 1 Sb 2.63, 4 Pt 2.72-2.75
Pt 0.7542 0.5190 0.0000  1 Ge 2.45, 1 Sb 2.60
Pt 0.2542 0.4810 0.5000  1 Ge 2.45, 1 Sb 2.60
Pt 0.2458 0.5190 0.0000  1 Ge 2.45, 1 Sb 2.60
Pt 0.7519 0.0060 0.5000  1 Ge 2.60, 6 Pt 2.72-2.82, 1 Sb 2.84
Pt 0.5000 0.1050 0.7495  1 Ge 2.52, 1 Sb 2.63, 4 Pt 2.72-2.75
Pt 0.5000 0.1050 0.2505  1 Ge 2.52, 1 Sb 2.63, 4 Pt 2.72-2.75
Pt 0.0000 0.8950 0.7505  1 Ge 2.52, 1 Sb 2.63, 4 Pt 2.72-2.75
Pt 0.7458 0.4810 0.5000  1 Ge 2.45, 1 Sb 2.60
Pt 0.2481 0.0060 0.5000  1 Ge 2.60, 6 Pt 2.72-2.82, 1 Sb 2.84
Pt 0.2519 0.9940 0.0000  1 Ge 2.60, 6 Pt 2.72-2.82, 1 Sb 2.84
Sb 0.5000 0.2735 0.0000  6 Pt 2.60-2.84
Sb 0.0000 0.7265 0.5000  6 Pt 2.60-2.84
Pr 0.5000 0.7344 0.2437  9 Pt 3.14-3.44, 2 Ge 3.51
Pr 0.5000 0.7344 0.7563  9 Pt 3.14-3.44, 2 Ge 3.51
Pr 0.0000 0.2656 0.2563  9 Pt 3.14-3.44, 2 Ge 3.51
Pr 0.0000 0.2656 0.7437  9 Pt 3.14-3.44, 2 Ge 3.51
Ge 0.0000 0.7474 0.0000  6 Pt 2.45-2.60
Ge 0.5000 0.2526 0.5000  6 Pt 2.45-2.60

Calculated values
- formation energy (no corrections) (eV per atom) = -0.83

***

Entry 2:
Here is an optimized crystal structure of GaHg from the Alexandria database. Energies are from GGA-PBE.

Unit cell a=6.2491 b=6.2491 c=6.2491 alpha=90.00 beta=90.00 gamma=90.00
With the nearest neighbours (Å) after each atom.
Element x y z (fractional)
Hg 0.0000 0.0000 0.0000  4 Ga 2.71
Hg 0.5000 0.5000 0.0000  4 Ga 2.71
Hg 0.5000 0.0000 0.5000  4 Ga 2.71
Hg 0.0000 0.5000 0.5000  4 Ga 2.71
Ga 0.7500 0.7500 0.2500  4 Hg 2.71
Ga 0.2500 0.2500 0.2500  4 Hg 2.71
Ga 0.7500 0.2500 0.7500  4 Hg 2.71
Ga 0.2500 0.7500 0.7500  4 Hg 2.71

Calculated values
- calculated formation energy (eV per atom) = 0.301

***

no.,total magnetization (μB per formula unit)
1,0.0
2,0.0